[1]
DFT (PBE-GGA) results for Y2Tm3Te6 after structural relaxation.

Structure (CIF):
```
data_Y2Tm3Te6
_symmetry_space_group_name_H-M 'C 1 2/m 1'
_symmetry_Int_Tables_number 12
_cell_length_a 7.483
_cell_length_b 12.880
_cell_length_c 7.450
_cell_angle_alpha 90.00
_cell_angle_beta 109.64
_cell_angle_gamma 90.00
loop_
_symmetry_equiv_pos_as_xyz
'x,y,z'
'-x,-y,-z'
'-x,y,-z'
'x,-y,z'
'x+1/2,y+1/2,z'
'-x+1/2,-y+1/2,-z'
'-x+1/2,y+1/2,-z'
'x+1/2,-y+1/2,z'
loop_
_atom_site_label
_atom_site_type_symbol
_atom_site_fract_x
_atom_site_fract_y
_atom_site_fract_z
Y1 Y 0.000 0.164 0.000
Tm1 Tm 0.000 0.000 0.500
Tm2 Tm 0.000 0.329 0.500
Te1 Te 0.238 0.500 0.749
Te2 Te 0.242 0.339 0.247
```

Computed properties:
Density = 7.12 g cm⁻³
Uncorrected energy = -120.25 eV for the cell shown



[2]
DFT (PBE-GGA) results for Er3Tm2N4 after structural relaxation.

Structure (CIF):
```
data_Er3Tm2N4
_symmetry_space_group_name_H-M 'C 1 2/m 1'
_symmetry_Int_Tables_number 12
_cell_length_a 5.946
_cell_length_b 3.433
_cell_length_c 14.190
_cell_angle_alpha 90.00
_cell_angle_beta 90.07
_cell_angle_gamma 90.00
loop_
_symmetry_equiv_pos_as_xyz
'x,y,z'
'-x,-y,-z'
'-x,y,-z'
'x,-y,z'
'x+1/2,y+1/2,z'
'-x+1/2,-y+1/2,-z'
'-x+1/2,y+1/2,-z'
'x+1/2,-y+1/2,z'
loop_
_atom_site_label
_atom_site_type_symbol
_atom_site_fract_x
_atom_site_fract_y
_atom_site_fract_z
Er1 Er 0.000 0.000 0.000
Er2 Er 0.166 0.500 0.615
Tm1 Tm 0.167 0.500 0.192
N1 N 0.001 0.000 0.299
N2 N 0.166 0.500 0.900
```

Computed properties:
Density = 10.27 g cm⁻³
Uncorrected energy = -140.26 eV for the cell shown



[3]
DFT (PBE-GGA) results for KMnSi2Pb after structural relaxation.

Structure (CIF):
```
data_KMnSi2Pb
_symmetry_space_group_name_H-M 'P 4/m m m'
_symmetry_Int_Tables_number 123
_symmetry_space_group_name_Hall '-P 4 2'
_cell_length_a 4.605
_cell_length_b 4.605
_cell_length_c 5.431
_cell_angle_alpha 90.00
_cell_angle_beta 90.00
_cell_angle_gamma 90.00
loop_
_atom_site_label
_atom_site_type_symbol
_atom_site_fract_x
_atom_site_fract_y
_atom_site_fract_z
K1 K 0.000 0.000 0.000
Mn1 Mn 0.000 0.000 0.500
Si1 Si 0.000 0.500 0.500
Pb1 Pb 0.500 0.500 0.000
```

Computed properties:
Density = 5.15 g cm⁻³
Uncorrected energy = -22.07 eV for the cell shown



[4]
DFT (PBE-GGA) results for Ce2RhCl after structural relaxation.

Structure (CIF):
```
data_Ce2RhCl
_symmetry_space_group_name_H-M 'P 1 21/m 1'
_symmetry_Int_Tables_number 11
_cell_length_a 5.876
_cell_length_b 3.953
_cell_length_c 8.589
_cell_angle_alpha 90.00
_cell_angle_beta 94.13
_cell_angle_gamma 90.00
loop_
_symmetry_equiv_pos_as_xyz
'x,y,z'
'-x,-y,-z'
'-x,y+1/2,-z'
'x,-y+1/2,z'
loop_
_atom_site_label
_atom_site_type_symbol
_atom_site_fract_x
_atom_site_fract_y
_atom_site_fract_z
Ce1 Ce 0.205 0.250 0.141
Ce2 Ce 0.262 0.250 0.599
Rh1 Rh 0.235 0.750 0.366
Cl1 Cl 0.295 0.750 0.881
```

Computed properties:
Density = 6.99 g cm⁻³
Uncorrected energy = -50.63 eV for the cell shown
Energy above the lowest structure with this stoichiometry = 0.0184 eV per atom



[5]
DFT (PBE-GGA) results for Li2CoRe2 after structural relaxation.

Structure (CIF):
```
data_Li2CoRe2
_symmetry_space_group_name_H-M 'P 4/m b m'
_symmetry_Int_Tables_number 127
_symmetry_space_group_name_Hall '-P 4 2ab'
_cell_length_a 5.360
_cell_length_b 5.360
_cell_length_c 4.094
_cell_angle_alpha 90.00
_cell_angle_beta 90.00
_cell_angle_gamma 90.00
loop_
_atom_site_label
_atom_site_type_symbol
_atom_site_fract_x
_atom_site_fract_y
_atom_site_fract_z
Li1 Li 0.127 0.373 0.000
Co1 Co 0.000 0.000 0.000
Re1 Re 0.177 0.677 0.500
```

Computed properties:
Density = 12.57 g cm⁻³
Uncorrected energy = -65.19 eV for the cell shown
Formation energy from the elements = 0.6469 eV per atom
Energy above the lowest structure with this stoichiometry = 0.0000 eV per atom



[6]
DFT (PBE-GGA) results for TlFe2W after structural relaxation.

Structure (CIF):
```
data_TlFe2W
_symmetry_space_group_name_H-M 'R -3 m'
_symmetry_Int_Tables_number 166
_symmetry_space_group_name_Hall '-R 3 2"'
_cell_length_a 2.9850
_cell_length_b 2.9850
_cell_length_c 24.7212
_cell_angle_alpha 90.00
_cell_angle_beta 90.00
_cell_angle_gamma 120.00
loop_
_atom_site_label
_atom_site_type_symbol
_atom_site_fract_x
_atom_site_fract_y
_atom_site_fract_z
Tl1 Tl 0.0000 0.0000 0.0000
Fe1 Fe 0.0000 0.0000 0.2412
W1 W 0.0000 0.0000 0.5000
```

Computed properties:
Density = 13.05 g cm⁻³
Uncorrected energy = -89.37 eV for the cell shown
Formation energy from the elements = 0.6139 eV per atom
Energy above the lowest structure with this stoichiometry = 0.1771 eV per atom



[7]
DFT (PBE-GGA) results for AcThAlAu after structural relaxation.

Structure (CIF):
```
data_AcThAlAu
_symmetry_space_group_name_H-M 'F -4 3 m'
_symmetry_Int_Tables_number 216
_symmetry_space_group_name_Hall 'F -4 2 3'
_cell_length_a 7.672
_cell_length_b 7.672
_cell_length_c 7.672
_cell_angle_alpha 90.00
_cell_angle_beta 90.00
_cell_angle_gamma 90.00
loop_
_atom_site_label
_atom_site_type_symbol
_atom_site_fract_x
_atom_site_fract_y
_atom_site_fract_z
Ac1 Ac 0.000 0.000 0.000
Th1 Th 0.000 0.000 0.500
Al1 Al 0.250 0.250 0.250
Au1 Au 0.250 0.250 0.750
```

Computed properties:
Density = 10.05 g cm⁻³
Uncorrected energy = -79.21 eV for the cell shown
Formation energy from the elements = -0.3138 eV per atom



[8]
DFT (PBE-GGA) results for SrCa2Se after structural relaxation.

Structure (CIF):
```
data_SrCa2Se
_symmetry_space_group_name_H-M 'I -4 2 d'
_symmetry_Int_Tables_number 122
_symmetry_space_group_name_Hall 'I -4 2bw'
_cell_length_a 9.824
_cell_length_b 9.824
_cell_length_c 6.541
_cell_angle_alpha 90.00
_cell_angle_beta 90.00
_cell_angle_gamma 90.00
loop_
_atom_site_label
_atom_site_type_symbol
_atom_site_fract_x
_atom_site_fract_y
_atom_site_fract_z
Sr1 Sr 0.000 0.000 0.000
Ca1 Ca 0.148 0.250 0.625
Se1 Se 0.000 0.000 0.500
```

Computed properties:
Density = 2.60 g cm⁻³
Uncorrected energy = -48.28 eV for the cell shown